Record 1
VASP calculation (GGA-PBE) on a relaxed UBiB crystal.

Structure (POSCAR):
```
UBiB
1.0
3.438 -0.449 0.252
0.867 3.357 0.252
0.508 0.343 11.854
Bi B U
2 2 2
Cartesian
3.258 2.201 4.527
1.555 1.050 7.830
1.320 2.686 0.252
2.985 0.222 0.252
1.214 0.820 1.816
3.599 2.431 10.541
```

Density of states at the Fermi level   5.58 states/eV/f.u.
E_tot   -6.977 eV per atom



Record 2
VASP calculation (GGA-PBE) on a relaxed UNiH crystal.

Structure (POSCAR):
```
UNiH
1.0
6.221 1.253 0.000
0.495 6.327 0.000
-3.358 -3.790 3.782
Ni H U
4 4 4
Cartesian
5.873 6.627 0.000
1.092 4.116 1.891
-0.596 2.211 1.891
0.844 0.952 0.000
0.248 3.163 0.784
0.000 0.000 1.107
3.358 3.790 2.675
0.248 3.163 2.999
1.555 0.313 2.837
3.235 2.208 0.946
-1.555 -0.313 2.837
3.482 5.372 0.946
```

Energy above the lowest structure with this stoichiometry   0.014 eV per atom
Density of states at the Fermi level   4.75 states/eV/f.u.



Record 3
VASP calculation (GGA-PBE) on a relaxed AlInS crystal.

Structure (POSCAR):
```
AlInS
1.0
-5.225 2.574 5.733
-4.428 -2.168 -6.518
3.587 -6.766 2.853
S Al In
6 6 6
Cartesian
1.323 -6.543 0.557
-2.484 -6.152 -3.589
-5.496 -1.381 -3.571
-7.389 0.183 1.510
-3.581 -0.208 5.657
-0.569 -4.979 5.638
-6.558 -1.924 0.940
-2.935 -6.106 -1.298
-3.130 -0.253 3.366
0.492 -4.436 1.128
-3.514 -1.761 -2.396
-2.552 -4.599 4.464
-3.682 -0.879 0.480
-2.383 -5.481 1.587
-1.268 -2.494 2.595
-1.505 -3.396 -0.875
-4.560 -2.964 2.942
-4.797 -3.866 -0.528
```

Density of states at the Fermi level   0.60 states/eV/f.u.
Formation energy from raw total energies   -0.95 eV per formula unit



Which value of density of states at the Fermi level does entry 3 give? 0.60 states/eV/f.u.



What is the formula in the first record? UBiB



Look up the density of states at the Fermi level of the second one. 4.75 states/eV/f.u.



What did the second record say?
VASP calculation (GGA-PBE) on a relaxed UNiH crystal.

Structure (POSCAR):
```
UNiH
1.0
6.221 1.253 0.000
0.495 6.327 0.000
-3.358 -3.790 3.782
Ni H U
4 4 4
Cartesian
5.873 6.627 0.000
1.092 4.116 1.891
-0.596 2.211 1.891
0.844 0.952 0.000
0.248 3.163 0.784
0.000 0.000 1.107
3.358 3.790 2.675
0.248 3.163 2.999
1.555 0.313 2.837
3.235 2.208 0.946
-1.555 -0.313 2.837
3.482 5.372 0.946
```

Energy above the lowest structure with this stoichiometry   0.014 eV per atom
Density of states at the Fermi level   4.75 states/eV/f.u.